TaAlAsOs2 | PBE | relaxed

Results
total magnetization = 0.0 μB per cell
SG = P4/mmm
energy relative to the elements = 1.813 eV per atom

Geometry as POSCAR:
```
TaAlAsOs2
1.0
-4.609 -0.186 1.238
-0.994 -2.509 -4.076
0.791 -4.095 2.328
Ta Al Os As
1 1 2 1
Cartesian
0.000 0.000 0.000
-0.497 -1.254 -2.038
0.396 -2.047 1.164
-2.305 -0.093 0.619
-2.406 -3.395 -0.255
```